1.
The following is a DFT calculation (PBE-GGA) of a geometry-optimized LaSc4Hg structure.

Its theoretical density is 5.425 Mg/m³. For the total energy, the calculation gives -4.909 eV per atom.

It has space group F-43m (No. 216), with a = 8.5990 Å, b = 8.5990 Å, c = 8.5990 Å, α = 90.00°, β = 90.00° and γ = 90.00°. The distinct sites, in fractional coordinates, are La at (0.0000, 0.0000, 0.0000), Sc at (0.1252, 0.1252, 0.6252) and Hg at (0.2500, 0.2500, 0.2500).



2.
The following is a DFT calculation (PBE-GGA) of a geometry-optimized La2ScHg structure.

Its theoretical density is 7.717 Mg/m³. For the total energy, the calculation gives -4.183 eV per atom.

It has space group F-43m (No. 216), with a = 7.6659 Å, b = 7.6659 Å, c = 7.6659 Å, α = 90.00°, β = 90.00° and γ = 90.00°. The distinct sites, in fractional coordinates, are La at (0.0000, 0.0000, 0.0000), La at (0.2500, 0.2500, 0.2500), Sc at (0.2500, 0.2500, 0.7500) and Hg at (0.0000, 0.0000, 0.5000).



3.
The following is a DFT calculation (PBE-GGA) of a geometry-optimized La2ScHg structure.

Its theoretical density is 7.410 Mg/m³. For the total energy, the calculation gives -4.332 eV per atom.

It has space group P4mm (No. 99), with a = 3.6578 Å, b = 3.6578 Å, c = 8.7656 Å, α = 90.00°, β = 90.00° and γ = 90.00°. The distinct sites, in fractional coordinates, are La at (0.0000, 0.0000, 0.0000), La at (0.5000, 0.5000, 0.3049), Sc at (0.0000, 0.0000, 0.5700) and Hg at (0.5000, 0.5000, 0.7421).



Look up the theoretical density of the second one. 7.717 Mg/m³



What did the second record say?
The following is a DFT calculation (PBE-GGA) of a geometry-optimized La2ScHg structure.

Its theoretical density is 7.717 Mg/m³. For the total energy, the calculation gives -4.183 eV per atom.

It has space group F-43m (No. 216), with a = 7.6659 Å, b = 7.6659 Å, c = 7.6659 Å, α = 90.00°, β = 90.00° and γ = 90.00°. The distinct sites, in fractional coordinates, are La at (0.0000, 0.0000, 0.0000), La at (0.2500, 0.2500, 0.2500), Sc at (0.2500, 0.2500, 0.7500) and Hg at (0.0000, 0.0000, 0.5000).